Record 1
Below is a relaxed structure of Y2GeIr3, with properties calculated at the PBE-GGA level.

The structure in CIF format:
```
data_Y2GeIr3
_cell_length_a 5.5555
_cell_length_b 5.5555
_cell_length_c 8.1625
_cell_angle_alpha 90.00
_cell_angle_beta 90.00
_cell_angle_gamma 120.00
_symmetry_space_group_name_H-M 'P 63/m m c'
_symmetry_Int_Tables_number 194
_symmetry_space_group_name_Hall '-P 6c 2c'
loop_
_atom_site_label
_atom_site_fract_x
_atom_site_fract_y
_atom_site_fract_z
Y1 0.3333 0.6667 0.0635
Ge1 0.0000 0.0000 0.0000
Ir1 0.1707 0.3413 0.7500
```

Output
* DFT total energy: -8.182 eV/atom
* energy of formation: -0.827 eV/atom

***

Record 2
Below is a relaxed structure of Ho2GePd, with properties calculated at the PBE-GGA level.

The structure in CIF format:
```
data_Ho2GePd
_cell_length_a 4.897
_cell_length_b 4.897
_cell_length_c 3.656
_cell_angle_alpha 90.00
_cell_angle_beta 90.00
_cell_angle_gamma 90.00
_symmetry_space_group_name_H-M 'P 4/m m m'
_symmetry_Int_Tables_number 123
_symmetry_space_group_name_Hall '-P 4 2'
loop_
_atom_site_label
_atom_site_fract_x
_atom_site_fract_y
_atom_site_fract_z
Ho1 0.000 0.500 0.000
Ge1 0.000 0.000 0.500
Pd1 0.500 0.500 0.500
```

Output
* DFT total energy: -5.541 eV/atom
* energy of formation: -0.800 eV/atom

***

Record 3
Below is a relaxed structure of CaIrS, with properties calculated at the PBE-GGA level.

The structure in CIF format:
```
data_CaIrS
_cell_length_a 3.974
_cell_length_b 4.552
_cell_length_c 7.325
_cell_angle_alpha 72.52
_cell_angle_beta 89.95
_cell_angle_gamma 89.93
_symmetry_space_group_name_H-M 'P -1'
_symmetry_Int_Tables_number 2
loop_
_symmetry_equiv_pos_as_xyz
'x,y,z'
'-x,-y,-z'
loop_
_atom_site_label
_atom_site_fract_x
_atom_site_fract_y
_atom_site_fract_z
Ca1 0.001 0.102 0.229
Ir1 0.499 0.446 0.687
S1 0.000 0.500 0.500
S2 0.500 0.500 0.000
```

Output
* formation energy (no corrections): -611.2 meV per atom
* DFT total energy: -5.608 eV/atom

***

Record 4
Below is a relaxed structure of Pm4CdGaAg2, with properties calculated at the PBE-GGA level.

The structure in CIF format:
```
data_Pm4CdGaAg2
_cell_length_a 5.2857
_cell_length_b 5.2857
_cell_length_c 26.0434
_cell_angle_alpha 90.00
_cell_angle_beta 90.00
_cell_angle_gamma 120.00
_symmetry_space_group_name_H-M 'R -3 m'
_symmetry_Int_Tables_number 166
_symmetry_space_group_name_Hall '-R 3 2"'
loop_
_atom_site_label
_atom_site_fract_x
_atom_site_fract_y
_atom_site_fract_z
Pm1 0.0000 0.0000 0.1206
Pm2 0.0000 0.0000 0.3712
Cd1 0.0000 0.0000 0.5000
Ga1 0.0000 0.0000 0.0000
Ag1 0.0000 0.0000 0.2442
```

Output
* DFT total energy: -3.930 eV/atom
* energy of formation: -0.349 eV/atom

***

Record 5
Below is a relaxed structure of LiCeCdGe, with properties calculated at the PBE-GGA level.

The structure in CIF format:
```
data_LiCeCdGe
_cell_length_a 7.089
_cell_length_b 7.089
_cell_length_c 7.089
_cell_angle_alpha 90.00
_cell_angle_beta 90.00
_cell_angle_gamma 90.00
_symmetry_space_group_name_H-M 'F -4 3 m'
_symmetry_Int_Tables_number 216
_symmetry_space_group_name_Hall 'F -4 2 3'
loop_
_atom_site_label
_atom_site_fract_x
_atom_site_fract_y
_atom_site_fract_z
Li1 0.000 0.000 0.000
Ce1 0.000 0.000 0.500
Cd1 0.250 0.250 0.250
Ge1 0.250 0.250 0.750
```

Output
* DFT total energy: -3.703 eV/atom
* energy of formation: -0.358 eV/atom

***

Record 6
Below is a relaxed structure of Pm3Dy3HoS8, with properties calculated at the PBE-GGA level.

The structure in CIF format:
```
data_Pm3Dy3HoS8
_cell_length_a 7.8875
_cell_length_b 7.8875
_cell_length_c 19.5273
_cell_angle_alpha 90.00
_cell_angle_beta 90.00
_cell_angle_gamma 120.00
_symmetry_space_group_name_H-M 'R -3 m'
_symmetry_Int_Tables_number 166
_symmetry_space_group_name_Hall '-R 3 2"'
loop_
_atom_site_label
_atom_site_fract_x
_atom_site_fract_y
_atom_site_fract_z
Pm1 0.0000 0.5000 0.0000
Dy1 0.0000 0.5000 0.5000
Ho1 0.0000 0.0000 0.5000
S1 0.0000 0.0000 0.2462
S2 0.0007 0.5003 0.7536
```

Output
* formation energy (no corrections): -2058.6 meV per atom
* DFT total energy: -6.436 eV/atom

***

no.,DOS(E_F) (states/eV per cell),size of the total moment (μB/f.u.)
1,6.82,0.0
2,2.11,0.0
3,3.99,0.0
4,25.26,0.8
5,23.79,0.7
6,20.66,0.0